## ScRe2Tc2 (PBE-GGA)

Data for a relaxed ScRe2Tc2 crystal.

Cell: 7.6677 7.6677 2.8040 Å, 90.00 90.00 90.00°
Last column: nearest neighbours and their distance in Å.
Element x y z (fractional)
Re  0.8741  0.6259  0.0000  6 Tc 2.65-2.67, 3 Re 2.73-2.80
Tc  0.3329  0.1671  0.5000  6 Re 2.65-2.67, 2 Tc 2.80
Sc  0.0000  0.0000  0.0000  2 Sc 2.80, 4 Re 3.03
Tc  0.6671  0.8329  0.5000  6 Re 2.65-2.67, 2 Tc 2.80
Sc  0.5000  0.5000  0.0000  2 Sc 2.80, 4 Re 3.03
Re  0.6259  0.1259  0.0000  6 Tc 2.65-2.67, 3 Re 2.73-2.80
Tc  0.1671  0.6671  0.5000  6 Re 2.65-2.67, 2 Tc 2.80
Re  0.3741  0.8741  0.0000  6 Tc 2.65-2.67, 3 Re 2.73-2.80
Tc  0.8329  0.3329  0.5000  6 Re 2.65-2.67, 2 Tc 2.80
Re  0.1259  0.3741  0.0000  6 Tc 2.65-2.67, 3 Re 2.73-2.80

Output
* polymorph energy (0 for the lowest one): 0.0 meV/atom
* SG: No. 127


## Pm5Al3Sb12 (PBE-GGA)

Data for a relaxed Pm5Al3Sb12 crystal.

Cell: 15.3518 15.3518 15.3518 Å, 109.47 109.47 109.47°
Last column: nearest neighbours and their distance in Å.
Element x y z (fractional)
Sb  0.7510  0.4272  0.3823  1 Al 2.70
Sb  0.0449  0.8687  0.1177  1 Al 2.70
Sb  0.5728  0.3238  0.9551  1 Al 2.70
Sb  0.6177  0.5449  0.8687  1 Al 2.70
Al  0.3750  0.7500  0.6250  4 Sb 2.70
Al  0.7500  0.8750  0.6250  4 Sb 2.70
Pm  0.2500  0.3750  0.6250  4 Sb 3.08
Sb  0.0728  0.6177  0.7490  1 Al 2.70
Sb  0.2490  0.6762  0.1313  1 Al 2.70
Pm  0.5000  0.0000  0.5000  6 Sb 3.21
Pm  0.0000  0.0000  0.5000  6 Sb 3.21
Sb  0.8238  0.9551  0.0728  1 Al 2.70
Pm  0.0000  0.5000  0.5000  6 Sb 3.21
Pm  0.5000  0.5000  0.0000  6 Sb 3.21
Sb  0.3823  0.9272  0.7510  1 Al 2.70
Sb  0.5449  0.6177  0.3687  1 Al 2.70
Al  0.2500  0.6250  0.8750  4 Sb 2.70
Sb  0.1762  0.0449  0.9272  1 Al 2.70
Al  0.8750  0.1250  0.2500  4 Sb 2.70
Sb  0.6313  0.7490  0.6762  1 Al 2.70
Sb  0.7490  0.1177  0.0728  1 Al 2.70
Sb  0.7490  0.6313  0.1762  1 Al 2.70
Sb  0.2490  0.5728  0.6177  1 Al 2.70
Sb  0.4551  0.0728  0.3238  1 Al 2.70
Al  0.1250  0.8750  0.7500  4 Sb 2.70
Sb  0.8823  0.2510  0.4272  1 Al 2.70
Pm  0.1250  0.3750  0.2500  4 Sb 3.08
Sb  0.2510  0.3687  0.8238  1 Al 2.70
Pm  0.0000  0.5000  0.0000  6 Sb 3.21
Sb  0.3687  0.2510  0.3238  1 Al 2.70
Sb  0.5728  0.2490  0.1177  1 Al 2.70
Pm  0.3750  0.1250  0.7500  4 Sb 3.08
Sb  0.3238  0.7510  0.3687  1 Al 2.70
Al  0.1250  0.2500  0.8750  4 Sb 2.70
Al  0.8750  0.7500  0.1250  4 Sb 2.70
Pm  0.3750  0.2500  0.1250  4 Sb 3.08
Pm  0.8750  0.6250  0.7500  4 Sb 3.08
Sb  0.1177  0.7490  0.5728  1 Al 2.70
Sb  0.9272  0.3823  0.2510  1 Al 2.70
Al  0.6250  0.2500  0.3750  4 Sb 2.70
Sb  0.4551  0.3823  0.6313  1 Al 2.70
Sb  0.6313  0.8823  0.4551  1 Al 2.70
Sb  0.9551  0.8238  0.5728  1 Al 2.70
Al  0.7500  0.3750  0.1250  4 Sb 2.70
Al  0.6250  0.3750  0.7500  4 Sb 2.70
Sb  0.9272  0.5449  0.1762  1 Al 2.70
Sb  0.3238  0.5728  0.4551  1 Al 2.70
Pm  0.7500  0.6250  0.3750  4 Sb 3.08
Sb  0.8238  0.8687  0.2510  1 Al 2.70
Pm  0.2500  0.8750  0.1250  4 Sb 3.08
Sb  0.8687  0.0449  0.6177  1 Al 2.70
Sb  0.9551  0.1313  0.8823  1 Al 2.70
Sb  0.5449  0.9272  0.6762  1 Al 2.70
Sb  0.1762  0.1313  0.7490  1 Al 2.70
Pm  0.6250  0.7500  0.8750  4 Sb 3.08
Sb  0.1313  0.1762  0.2490  1 Al 2.70
Pm  0.5000  0.0000  0.0000  6 Sb 3.21
Pm  0.7500  0.1250  0.8750  4 Sb 3.08
Pm  0.5000  0.5000  0.5000  6 Sb 3.21
Sb  0.6762  0.4272  0.5449  1 Al 2.70
Sb  0.7510  0.3238  0.8687  1 Al 2.70
Sb  0.6762  0.2490  0.6313  1 Al 2.70
Pm  0.1250  0.7500  0.3750  4 Sb 3.08
Sb  0.3823  0.4551  0.1313  1 Al 2.70
Sb  0.6177  0.0728  0.2490  1 Al 2.70
Al  0.2500  0.1250  0.3750  4 Sb 2.70
Pm  0.0000  0.0000  0.0000  6 Sb 3.21
Sb  0.1177  0.3687  0.0449  1 Al 2.70
Pm  0.6250  0.8750  0.2500  4 Sb 3.08
Sb  0.0728  0.4551  0.8238  1 Al 2.70
Sb  0.1313  0.9551  0.3823  1 Al 2.70
Sb  0.8687  0.8238  0.7510  1 Al 2.70
Sb  0.4272  0.7510  0.8823  1 Al 2.70
Sb  0.0449  0.1762  0.4272  1 Al 2.70
Sb  0.8823  0.6313  0.9551  1 Al 2.70
Sb  0.4272  0.6762  0.0449  1 Al 2.70
Sb  0.2510  0.8823  0.9272  1 Al 2.70
Pm  0.8750  0.2500  0.6250  4 Sb 3.08
Sb  0.3687  0.1177  0.5449  1 Al 2.70
Al  0.3750  0.6250  0.2500  4 Sb 2.70

Output
* energy relative to the elements, uncorrected: -114.5 meV/atom
* SG: No. 230


## Ce2PaAu6 (PBE-GGA)

Data for a relaxed Ce2PaAu6 crystal.

Cell: 3.2206 8.3868 8.3868 Å, 60.00 90.00 90.00°
Last column: nearest neighbours and their distance in Å.
Element x y z (fractional)
Ce  0.0000  0.3333  0.3333  2 Ce 3.22, 12 Au 3.23
Au  0.5000  0.3325  0.6675  3 Au 2.79-2.81
Pa  0.0000  0.0000  0.0000  12 Au 3.22, 2 Pa 3.22
Ce  0.0000  0.6667  0.6667  2 Ce 3.22, 12 Au 3.23
Au  0.5004  0.3325  0.0000  3 Au 2.79-2.81
Au  0.5000  0.6675  0.3325  3 Au 2.79-2.81
Au  0.4996  0.6675  0.0000  3 Au 2.79-2.81
Au  0.4996  0.0000  0.6675  3 Au 2.79-2.81
Au  0.5004  0.0000  0.3325  3 Au 2.79-2.81

Output
* SG: No. 191
* VASP energy: -5.1677 eV/atom


## La2BeHg (PBE-GGA)

Data for a relaxed La2BeHg crystal.

Cell: 5.1801 5.1801 5.1801 Å, 60.00 60.00 60.00°
Last column: nearest neighbours and their distance in Å.
Element x y z (fractional)
La  0.2500  0.2500  0.2500  4 La 3.17, 4 Be 3.17
Hg  0.7500  0.7500  0.7500  4 Be 3.17, 4 La 3.17
Be  0.5000  0.5000  0.5000  4 Hg 3.17, 4 La 3.17
La  0.0000  0.0000  0.0000  4 La 3.17, 4 Hg 3.17

Output
* polymorph energy (0 for the lowest one): 413.8 meV/atom
* SG: No. 216


## Ca2ZnPb (PBE-GGA)

Data for a relaxed Ca2ZnPb crystal.

Cell: 5.4193 3.7927 5.4188 Å, 90.00 90.00 90.00°
Last column: nearest neighbours and their distance in Å.
Element x y z (fractional)
Pb  0.0000  0.6251  0.3746  8 Ca 3.31
Ca  0.0000  0.1249  0.8746  4 Pb 3.31, 4 Zn 3.31
Ca  0.5000  0.1252  0.3751  4 Zn 3.30-3.31, 4 Pb 3.31
Zn  0.5000  0.6248  0.8757  8 Ca 3.30-3.31

Output
* SG: No. 25
* VASP energy: -2.6529 eV/atom


## Pr2YAu (PBE-GGA)

Data for a relaxed Pr2YAu crystal.

Cell: 3.8395 6.4777 10.2244 Å, 90.00 90.00 107.22°
Last column: nearest neighbours and their distance in Å.
Element x y z (fractional)
Pr  0.3675  0.7342  0.5522  3 Au 3.10-3.45, 1 Pr 3.46
Pr  0.6325  0.2658  0.0522  3 Au 3.10-3.45, 1 Pr 3.46
Au  0.7578  0.5155  0.7500  2 Y 3.05, 4 Pr 3.10
Pr  0.6325  0.2658  0.4478  3 Au 3.10-3.45, 1 Pr 3.46
Y  0.0668  0.1334  0.7500  2 Au 3.05
Au  0.2422  0.4845  0.2500  2 Y 3.05, 4 Pr 3.10
Y  0.9332  0.8666  0.2500  2 Au 3.05
Pr  0.3675  0.7342  0.9478  3 Au 3.10-3.45, 1 Pr 3.46

Output
* polymorph energy (0 for the lowest one): 0.0 meV/atom
* SG: No. 63


## Sb2Rh2Au (PBE-GGA)

Data for a relaxed Sb2Rh2Au crystal.

Cell: 4.2939 4.2939 6.4503 Å, 70.56 70.56 90.00°
Last column: nearest neighbours and their distance in Å.
Element x y z (fractional)
Sb  0.2500  0.7500  0.5000  4 Rh 2.64
Rh  0.6156  0.6156  0.7687  1 Rh 2.63, 4 Sb 2.64
Sb  0.7500  0.2500  0.5000  4 Rh 2.64
Au  0.0000  0.0000  0.0000  8 Rh 3.31, 8 Sb 3.56
Rh  0.3844  0.3844  0.2313  1 Rh 2.63, 4 Sb 2.64

Output
* polymorph energy (0 for the lowest one): 307.4 meV/atom
* energy relative to the elements, uncorrected: 97.3 meV/atom
* SG: No. 139


## KBeCdB2 (PBE-GGA)

Data for a relaxed KBeCdB2 crystal.

Cell: 4.0375 5.5547 4.0375 Å, 90.00 90.00 90.00°
Last column: nearest neighbours and their distance in Å.
Element x y z (fractional)
K  0.0000  0.5000  0.0000  2 Be 2.78, 4 Cd 2.85
B  0.5000  0.0000  0.0000  2 Be 2.02
Cd  0.5000  0.5000  0.5000  4 K 2.85
B  0.0000  0.0000  0.5000  2 Be 2.02
Be  0.0000  0.0000  0.0000  4 B 2.02

Output
* SG: No. 123
* VASP energy: -2.3762 eV/atom


## LaDyTm2 (PBE-GGA)

Data for a relaxed LaDyTm2 crystal.

Cell: 7.1152 6.1784 12.3779 Å, 109.24 90.00 90.00°
Last column: nearest neighbours and their distance in Å.
Element x y z (fractional)
Dy  0.8788  0.9978  0.1237  7 Tm 3.50-3.61, 2 Dy 3.52-3.62, 3 La 3.57-3.59
Tm  0.1227  0.5028  0.1265  4 Dy 3.53-3.58, 3 La 3.53-3.59, 5 Tm 3.54-3.58
La  0.3734  0.5007  0.8754  7 Tm 3.53-3.60, 3 Dy 3.57-3.59, 2 La 3.57-3.59
Tm  0.3708  0.4974  0.3750  3 Dy 3.50-3.61, 5 Tm 3.55-3.59, 4 La 3.57-3.60
La  0.3734  0.9993  0.6246  7 Tm 3.53-3.60, 3 Dy 3.57-3.59, 2 La 3.57-3.59
Tm  0.6292  0.5026  0.6250  3 Dy 3.50-3.61, 5 Tm 3.55-3.59, 4 La 3.57-3.60
La  0.6266  0.0007  0.3754  7 Tm 3.53-3.60, 3 Dy 3.57-3.59, 2 La 3.57-3.59
Tm  0.6292  0.9974  0.8750  3 Dy 3.50-3.61, 5 Tm 3.55-3.59, 4 La 3.57-3.60
Tm  0.8773  0.0028  0.6265  4 Dy 3.53-3.58, 3 La 3.53-3.59, 5 Tm 3.54-3.58
Tm  0.8773  0.4972  0.8735  4 Dy 3.53-3.58, 3 La 3.53-3.59, 5 Tm 3.54-3.58
La  0.6266  0.4993  0.1246  7 Tm 3.53-3.60, 3 Dy 3.57-3.59, 2 La 3.57-3.59
Dy  0.8788  0.5022  0.3763  7 Tm 3.50-3.61, 2 Dy 3.52-3.62, 3 La 3.57-3.59
Dy  0.1212  0.4978  0.6237  7 Tm 3.50-3.61, 2 Dy 3.52-3.62, 3 La 3.57-3.59
Tm  0.3708  0.0026  0.1250  3 Dy 3.50-3.61, 5 Tm 3.55-3.59, 4 La 3.57-3.60
Tm  0.1227  0.9972  0.3735  4 Dy 3.53-3.58, 3 La 3.53-3.59, 5 Tm 3.54-3.58
Dy  0.1212  0.0022  0.8763  7 Tm 3.50-3.61, 2 Dy 3.52-3.62, 3 La 3.57-3.59

Output
* polymorph energy (0 for the lowest one): 16.4 meV/atom
* SG: No. 13


## TiZn2Ir (PBE-GGA)

Data for a relaxed TiZn2Ir crystal.

Cell: 4.4347 4.7572 5.5531 Å, 90.03 90.00 90.00°
Last column: nearest neighbours and their distance in Å.
Element x y z (fractional)
Ti  0.7500  0.6270  0.7494  4 Ir 2.62-2.79, 8 Zn 2.67-2.88
Zn  0.2500  0.8469  0.5073  4 Zn 2.65-2.86, 4 Ti 2.67-2.88, 4 Ir 2.69-2.78
Zn  0.7500  0.1531  0.4927  4 Zn 2.65-2.86, 4 Ti 2.67-2.88, 4 Ir 2.69-2.78
Ir  0.2500  0.3353  0.7500  4 Ti 2.62-2.79, 8 Zn 2.69-2.78
Ti  0.2500  0.3730  0.2506  4 Ir 2.62-2.79, 8 Zn 2.67-2.88
Zn  0.2500  0.8468  0.9930  4 Zn 2.65-2.86, 4 Ti 2.67-2.88, 4 Ir 2.69-2.78
Zn  0.7500  0.1532  0.0070  4 Zn 2.65-2.86, 4 Ti 2.67-2.88, 4 Ir 2.69-2.78
Ir  0.7500  0.6647  0.2500  4 Ti 2.62-2.79, 8 Zn 2.69-2.78

Output
* SG: No. 11
* VASP energy: -5.2860 eV/atom


## TaCdIrI2 (PBE-GGA)

Data for a relaxed TaCdIrI2 crystal.

Cell: 5.3396 5.7019 5.3396 Å, 90.00 90.00 90.00°
Last column: nearest neighbours and their distance in Å.
Element x y z (fractional)
I  0.5000  0.0000  0.0000  2 Ta 2.67
I  0.0000  0.0000  0.5000  2 Ta 2.67
Ir  0.5000  0.5000  0.5000  4 Cd 3.78, 8 I 3.91
Ta  0.0000  0.0000  0.0000  4 I 2.67, 2 Cd 2.85
Cd  0.0000  0.5000  0.0000  2 Ta 2.85

Output
* energy relative to the elements, uncorrected: 1525.8 meV/atom
* SG: No. 123


## Pm6Si3Hg (PBE-GGA)

Data for a relaxed Pm6Si3Hg crystal.

Cell: 8.7293 7.8346 7.8346 Å, 92.02 90.00 90.00°
Last column: nearest neighbours and their distance in Å.
Element x y z (fractional)
Pm  0.1485  0.3166  0.3165  4 Si 3.11-3.28, 2 Hg 3.24
Pm  0.1407  0.8324  0.1676  5 Si 3.10-3.18, 1 Hg 3.31
Pm  0.8985  0.4924  0.0067  3 Si 3.03-3.27, 1 Hg 3.14
Si  0.8985  0.8872  0.8860  1 Si 2.47
Pm  0.3985  0.0067  0.4924  3 Si 3.03-3.27, 1 Hg 3.14
Si  0.3987  0.3737  0.6263  1 Hg 2.75, 2 Pm 3.03
Pm  0.8985  0.9933  0.5076  3 Si 3.03-3.27, 1 Hg 3.14
Pm  0.1563  0.1677  0.8323  5 Si 3.10-3.18, 1 Hg 3.31
Hg  0.3986  0.6175  0.3825  1 Si 2.75
Si  0.3985  0.8860  0.8872  1 Si 2.47
Pm  0.6485  0.3165  0.3166  4 Si 3.11-3.28, 2 Hg 3.24
Pm  0.6563  0.8323  0.1677  5 Si 3.10-3.18, 1 Hg 3.31
Si  0.3985  0.1128  0.1140  1 Si 2.47
Si  0.8985  0.1140  0.1128  1 Si 2.47
Pm  0.1485  0.6835  0.6834  4 Si 3.11-3.28, 2 Hg 3.24
Hg  0.8986  0.3825  0.6175  1 Si 2.75
Pm  0.3985  0.5076  0.9933  3 Si 3.03-3.27, 1 Hg 3.14
Pm  0.6407  0.1676  0.8324  5 Si 3.10-3.18, 1 Hg 3.31
Si  0.8987  0.6263  0.3737  1 Hg 2.75, 2 Pm 3.03
Pm  0.6485  0.6834  0.6835  4 Si 3.11-3.28, 2 Hg 3.24

Output
* energy relative to the elements, uncorrected: -570.0 meV/atom
* SG: No. 63


## La3Sm2Ge3 (PBE-GGA)

Data for a relaxed La3Sm2Ge3 crystal.

Cell: 6.7538 8.9237 8.9237 Å, 120.00 90.00 90.00°
Last column: nearest neighbours and their distance in Å.
Element x y z (fractional)
Sm  0.0000  0.3333  0.6667  6 Ge 3.22, 2 Sm 3.38
Sm  0.5000  0.3333  0.6667  6 Ge 3.22, 2 Sm 3.38
La  0.2500  0.0000  0.7512  3 Ge 3.09-3.18
La  0.7500  0.2488  0.0000  3 Ge 3.09-3.18
La  0.7500  0.7512  0.7512  3 Ge 3.09-3.18
La  0.7500  0.0000  0.2488  3 Ge 3.09-3.18
La  0.2500  0.2488  0.2488  3 Ge 3.09-3.18
La  0.2500  0.7512  0.0000  3 Ge 3.09-3.18
Ge  0.7500  0.0000  0.6051  3 La 3.09-3.18, 4 Sm 3.22
Sm  0.5000  0.6667  0.3333  6 Ge 3.22, 2 Sm 3.38
Ge  0.2500  0.6051  0.6051  3 La 3.09-3.18, 4 Sm 3.22
Sm  0.0000  0.6667  0.3333  6 Ge 3.22, 2 Sm 3.38
Ge  0.2500  0.3949  0.0000  3 La 3.09-3.18, 4 Sm 3.22
Ge  0.7500  0.3949  0.3949  3 La 3.09-3.18, 4 Sm 3.22
Ge  0.7500  0.6051  0.0000  3 La 3.09-3.18, 4 Sm 3.22
Ge  0.2500  0.0000  0.3949  3 La 3.09-3.18, 4 Sm 3.22

Output
* SG: No. 193
* VASP energy: -5.4714 eV/atom